[1]
{"formula": "SrZr2Cr", "functional": "SCAN", "state": "PBEsol geometry", "cell": [[-1.689, -2.041, 1.982], [0.886, -0.336, 3.170], [-6.258, 6.544, 4.169]], "species": ["Cr", "Sr", "Zr", "Zr"], "frac_coords": [[0.500, 0.500, 0.500], [0.000, 0.000, 0.000], [0.228, 0.228, 0.316], [0.772, 0.772, 0.684]], "relative_energy_ev_per_fu": 0.33, "delta_e_f_kcal_per_mol_atoms": 14.200}

=====

[2]
{"formula": "MgZrSc", "functional": "SCAN", "state": "PBEsol geometry", "cell": [[3.167, 0.000, 0.000], [-1.584, 2.743, 0.000], [0.000, 0.000, 7.889]], "species": ["Sc", "Mg", "Zr"], "frac_coords": [[0.333, 0.667, 0.657], [0.000, 0.000, 0.002], [0.667, 0.333, 0.341]], "relative_energy_ev_per_fu": 0.18, "delta_e_f_kcal_per_mol_atoms": 0.384}

=====

[3]
{"formula": "CoRe2Ni", "functional": "SCAN", "state": "PBEsol geometry", "cell": [[-1.181, 3.560, -1.740], [-2.860, -0.007, -2.985], [-3.773, 1.515, 0.749]], "species": ["Co", "Ni", "Re", "Re"], "frac_coords": [[0.000, 0.000, 0.000], [0.500, 0.500, 0.500], [0.250, 0.250, 0.250], [0.750, 0.750, 0.750]], "relative_energy_ev_per_fu": 1.09, "delta_e_f_kcal_per_mol_atoms": 6.413}

=====

[4]
{"formula": "Cd5In", "functional": "SCAN", "state": "PBEsol geometry", "cell": [[5.207, 0.000, 0.000], [-2.604, 4.510, 0.000], [0.000, 0.000, 5.542]], "species": ["Cd", "Cd", "Cd", "Cd", "Cd", "In"], "frac_coords": [[0.336, 0.336, 0.000], [0.664, 0.000, 0.000], [0.000, 0.664, 0.000], [0.333, 0.667, 0.500], [0.667, 0.333, 0.500], [0.000, 0.000, 0.500]], "relative_energy_ev_per_fu": 0.05, "delta_e_f_kcal_per_mol_atoms": 1.004}

=====

[5]
{"formula": "Nd3GaNiSe7", "functional": "SCAN", "state": "PBEsol geometry", "cell": [[6.522, 0.000, 0.000], [0.000, 10.008, 0.000], [0.000, -5.004, 8.667]], "species": ["Nd", "Nd", "Nd", "Nd", "Nd", "Nd", "Ga", "Ga", "Ni", "Ni", "Se", "Se", "Se", "Se", "Se", "Se", "Se", "Se", "Se", "Se", "Se", "Se", "Se", "Se"], "frac_coords": [[0.272, 0.624, 0.824], [0.272, 0.176, 0.800], [0.272, 0.200, 0.376], [0.772, 0.376, 0.176], [0.772, 0.824, 0.200], [0.772, 0.800, 0.624], [0.690, 0.333, 0.667], [0.190, 0.667, 0.333], [0.603, 0.000, 0.000], [0.103, 0.000, 0.000], [0.552, 0.470, 0.547], [0.552, 0.453, 0.923], [0.552, 0.077, 0.530], [0.052, 0.530, 0.453], [0.052, 0.547, 0.077], [0.052, 0.923, 0.470], [0.055, 0.333, 0.667], [0.555, 0.667, 0.333], [0.363, 0.879, 0.770], [0.363, 0.230, 0.108], [0.363, 0.892, 0.121], [0.863, 0.121, 0.230], [0.863, 0.770, 0.892], [0.863, 0.108, 0.879]], "e_form_raw_mev_per_atom": -1555}

=====

[6]
{"formula": "TlReMo2", "functional": "SCAN", "state": "PBEsol geometry", "cell": [[2.883, 0.000, 0.000], [1.441, 2.496, 0.000], [1.441, 0.832, 9.292]], "species": ["Mo", "Mo", "Re", "Tl"], "frac_coords": [[0.005, 0.005, 0.984], [0.752, 0.752, 0.743], [0.493, 0.493, 0.520], [0.249, 0.249, 0.252]], "relative_energy_ev_per_fu": 0.73, "delta_e_f_kcal_per_mol_atoms": 14.824}

=====

[7]
{"formula": "OsAuBr2", "functional": "SCAN", "state": "PBEsol geometry", "cell": [[-2.648, 1.514, -3.576], [1.564, -4.373, 0.079], [-2.972, -3.576, 0.686]], "species": ["Os", "Au", "Br", "Br"], "frac_coords": [[0.500, 0.000, 0.500], [0.000, 0.000, 0.000], [0.250, 0.500, 0.250], [0.750, 0.500, 0.750]], "relative_energy_ev_per_fu": 2.78, "e_form_raw_mev_per_atom": 1487}

=====

[8]
{"formula": "CaBePt2", "functional": "SCAN", "state": "PBEsol geometry", "cell": [[2.903, 0.000, -0.015], [0.000, 4.300, 0.000], [-1.432, 0.000, 5.316]], "species": ["Be", "Ca", "Pt", "Pt"], "frac_coords": [[0.638, 0.000, 0.401], [0.315, 0.500, 0.756], [0.964, 0.000, 0.053], [0.582, 0.500, 0.289]], "delta_e_f_kcal_per_mol_atoms": -13.322}

=====

[9]
{"formula": "TcH3Se", "functional": "SCAN", "state": "PBEsol geometry", "cell": [[-0.539, 1.294, -3.265], [-3.382, -1.080, 0.131], [-0.945, 3.128, 1.395]], "species": ["H", "H", "H", "Tc", "Se"], "frac_coords": [[0.000, 0.500, 0.000], [0.000, 0.000, 0.500], [0.500, 0.000, 0.000], [0.500, 0.500, 0.500], [0.000, 0.000, 0.000]], "total_energy_ev_per_cell": -58.48}

=====

[10]
{"formula": "WAu3", "functional": "SCAN", "state": "PBEsol geometry", "cell": [[-0.488, 2.605, 1.048], [-1.338, -2.257, 1.113], [7.019, -1.146, 6.116]], "species": ["Au", "Au", "Au", "W"], "frac_coords": [[0.333, 0.667, 0.258], [0.333, 0.667, 0.742], [0.000, 0.000, 0.000], [0.000, 0.000, 0.500]], "delta_e_f_kcal_per_mol_atoms": 5.391}

=====

[11]
{"formula": "Ti4FeBiPb4O15", "functional": "SCAN", "state": "PBEsol geometry", "cell": [[4.513, 0.000, 0.000], [0.000, 5.397, 0.000], [0.000, 2.698, 13.447]], "species": ["Ti", "Ti", "Ti", "Ti", "Fe", "Bi", "Pb", "Pb", "Pb", "Pb", "O", "O", "O", "O", "O", "O", "O", "O", "O", "O", "O", "O", "O", "O", "O"], "frac_coords": [[0.531, 0.899, 0.202], [0.533, 0.300, 0.400], [0.533, 0.700, 0.600], [0.531, 0.101, 0.798], [0.526, 0.500, 0.000], [0.943, 0.000, 0.000], [0.993, 0.404, 0.192], [0.988, 0.800, 0.401], [0.988, 0.200, 0.599], [0.993, 0.596, 0.808], [0.631, 0.899, 0.701], [0.631, 0.101, 0.299], [0.641, 0.500, 0.500], [0.651, 0.291, 0.901], [0.651, 0.709, 0.099], [0.651, 0.808, 0.901], [0.641, 0.000, 0.500], [0.631, 0.401, 0.701], [0.651, 0.192, 0.099], [0.631, 0.599, 0.299], [0.141, 0.097, 0.806], [0.144, 0.298, 0.403], [0.144, 0.702, 0.597], [0.125, 0.500, 0.000], [0.141, 0.903, 0.194]], "e_form_raw_mev_per_atom": -2285}

=====

[12]
{"formula": "Mn2SbH", "functional": "SCAN", "state": "PBEsol geometry", "cell": [[4.417, 0.000, 0.000], [0.000, 4.417, 0.000], [-2.208, -2.208, 4.891]], "species": ["Sb", "Sb", "Mn", "Mn", "Mn", "Mn", "H", "H"], "frac_coords": [[0.250, 0.750, 0.500], [0.000, 0.000, 0.000], [0.591, 0.875, 0.250], [0.659, 0.375, 0.250], [0.125, 0.341, 0.750], [0.625, 0.409, 0.750], [0.750, 0.250, 0.500], [0.500, 0.500, 0.000]], "total_energy_ev_per_cell": -151.02}

=====

[13]
{"formula": "MgOs2Pb", "functional": "SCAN", "state": "PBEsol geometry", "cell": [[-0.582, -3.021, -0.265], [1.605, 0.063, -4.253], [4.398, -0.991, 1.644]], "species": ["Mg", "Os", "Os", "Pb"], "frac_coords": [[0.000, 0.500, 0.500], [0.000, 0.000, 0.000], [0.500, 0.000, 0.500], [0.500, 0.500, 0.000]], "delta_e_f_kcal_per_mol_atoms": 19.567}

=====

[14]
{"formula": "AgAsRh", "functional": "SCAN", "state": "PBEsol geometry", "cell": [[3.141, 0.000, 0.000], [0.000, 3.141, 0.000], [-1.571, -1.571, 4.814]], "species": ["As", "Rh", "Ag"], "frac_coords": [[0.694, 0.694, 0.387], [0.307, 0.307, 0.614], [0.999, 0.999, 0.999]], "relative_energy_ev_per_fu": 0.00, "delta_e_f_kcal_per_mol_atoms": -3.854}

=====

[15]
{"formula": "IrRh2Cl", "functional": "SCAN", "state": "PBEsol geometry", "cell": [[-1.136, 2.441, -0.788], [-1.950, 1.222, 1.604], [4.863, 5.276, 4.344]], "species": ["Ir", "Rh", "Rh", "Cl"], "frac_coords": [[0.000, 0.000, 0.000], [0.248, 0.248, 0.255], [0.752, 0.752, 0.745], [0.500, 0.500, 0.500]], "relative_energy_ev_per_fu": 0.24, "e_form_raw_mev_per_atom": 285}

=====

[16]
{"formula": "EuP2Ir2", "functional": "SCAN", "state": "PBEsol geometry", "cell": [[6.635, 0.000, 0.000], [-3.317, 5.746, 0.000], [0.000, 0.000, 7.035]], "species": ["Eu", "Eu", "Eu", "P", "P", "P", "P", "P", "P", "Ir", "Ir", "Ir", "Ir", "Ir", "Ir"], "frac_coords": [[0.604, 0.000, 0.500], [0.396, 0.396, 0.833], [0.000, 0.604, 0.167], [0.114, 0.340, 0.457], [0.775, 0.660, 0.543], [0.886, 0.225, 0.876], [0.225, 0.886, 0.791], [0.660, 0.775, 0.124], [0.340, 0.114, 0.209], [0.132, 0.000, 0.500], [0.868, 0.868, 0.833], [0.518, 0.000, 0.000], [0.000, 0.518, 0.667], [0.482, 0.482, 0.333], [0.000, 0.132, 0.167]], "delta_e_f_kcal_per_mol_atoms": -24.986}

=====

[17]
{"formula": "TaIrS2", "functional": "SCAN", "state": "PBEsol geometry", "cell": [[5.411, 0.000, 0.000], [0.000, 5.411, 0.000], [-2.705, -2.705, 5.123]], "species": ["S", "S", "S", "S", "Ir", "Ir", "Ta", "Ta"], "frac_coords": [[0.887, 0.375, 0.250], [0.363, 0.875, 0.250], [0.625, 0.637, 0.750], [0.125, 0.113, 0.750], [0.250, 0.750, 0.500], [0.000, 0.000, 0.000], [0.750, 0.250, 0.500], [0.500, 0.500, 0.000]], "e_form_raw_mev_per_atom": -141}

=====

[18]
{"formula": "DyScRu2", "functional": "SCAN", "state": "PBEsol geometry", "cell": [[-3.714, -2.377, -1.300], [-2.489, -2.267, 3.129], [-4.197, 1.500, 1.123]], "species": ["Sc", "Ru", "Ru", "Dy"], "frac_coords": [[0.000, 0.000, 0.000], [0.750, 0.750, 0.750], [0.250, 0.250, 0.250], [0.500, 0.500, 0.500]], "delta_e_f_kcal_per_mol_atoms": -12.180}

=====

[19]
{"formula": "BaPbN2F", "functional": "SCAN", "state": "PBEsol geometry", "cell": [[-4.009, 2.325, -0.052], [-1.336, -2.387, -3.741], [-1.969, -3.332, 2.828]], "species": ["Pb", "N", "N", "Ba", "F"], "frac_coords": [[0.500, 0.500, 0.500], [0.000, 0.500, 0.000], [0.500, 0.000, 0.000], [0.000, 0.000, 0.000], [0.000, 0.000, 0.500]], "e_form_raw_mev_per_atom": 463}

=====

[20]
{"formula": "ReTc", "functional": "SCAN", "state": "PBEsol geometry", "cell": [[-1.730, -1.438, -3.709], [-3.824, -2.049, 0.041], [-3.516, 1.935, -1.647]], "species": ["Re", "Re", "Tc", "Tc"], "frac_coords": [[0.250, 0.250, 0.250], [0.000, 0.000, 0.000], [0.500, 0.500, 0.500], [0.750, 0.750, 0.750]], "relative_energy_ev_per_fu": 0.43, "delta_e_f_kcal_per_mol_atoms": 4.642}